8
Lattice="3.854 0.000 0.000 0.000 3.854 0.000 0.000 0.000 11.040" Properties=species:S:1:pos:R:3 comment="SrFeAgP, relaxed, DFT PBE" formation_enthalpy_0k_ev_per_atom=-0.575 sg="P4/nmm, No. 129" pbc="T T T"
Fe 0.963 2.890 0.000
Fe 2.890 0.963 0.000
P 2.890 2.890 9.935
P 0.963 0.963 1.105
Sr 2.890 2.890 2.690
Sr 0.963 0.963 8.350
Ag 0.963 2.890 5.520
Ag 2.890 0.963 5.520



5
Lattice="-2.002 4.367 -2.359 -4.380 -2.007 0.002 -0.981 2.145 4.804" Properties=species:S:1:pos:R:3 comment="FeAgTe2P, relaxed, DFT PBE" sg="P4/mmm, No. 123" formation_energy_uncorrected_mev_per_atom=1275 pbc="T T T"
Fe -2.190 -1.004 0.001
Te -0.490 1.073 2.402
Te -1.001 2.183 -1.179
P -3.682 2.252 1.224
Ag 0.000 0.000 0.000



6
Lattice="5.018 0.000 0.000 2.509 4.346 0.000 2.509 1.449 4.097" Properties=species:S:1:pos:R:3 comment="PaFe4Ag, relaxed, DFT PBE" formation_enthalpy_0k_ev_per_atom=0.045 sg="F-43m, No. 216" pbc="T T T"
Fe 5.018 1.455 2.559
Fe 3.769 3.619 2.559
Fe 6.268 3.619 2.559
Fe 5.018 2.897 0.519
Pa 2.509 1.449 1.024
Ag 0.000 0.000 0.000



4
Lattice="-1.304 -0.545 -3.136 -3.058 -1.537 -0.348 -5.688 7.661 -0.852" Properties=species:S:1:pos:R:3 comment="Pa2FeAg, relaxed, DFT PBE" formation_enthalpy_0k_ev_per_atom=0.371 sg="R-3m, No. 166" pbc="T T T"
Pa -5.743 0.643 -3.383
Pa -4.307 4.936 -0.953
Fe -5.025 2.790 -2.168
Ag 0.000 0.000 0.000



6
Lattice="4.609 0.000 0.000 2.304 3.991 0.000 2.304 1.330 7.127" Properties=species:S:1:pos:R:3 comment="PaFeAg, relaxed, DFT PBE" formation_enthalpy_0k_ev_per_atom=0.264 sg="R-3m, No. 166" pbc="T T T"
Fe 6.913 3.991 6.839
Fe 2.304 1.330 0.288
Ag 2.304 1.330 3.358
Ag 6.913 3.991 3.769
Pa 4.609 2.661 5.339
Pa 4.609 2.661 1.788



7
Lattice="-1.040 -0.067 4.881 2.046 -4.537 0.373 6.829 0.664 4.015" Properties=species:S:1:pos:R:3 comment="FeAg4Pb2, relaxed, DFT PBE" formation_enthalpy_0k_ev_per_atom=0.549 sg="I4/mmm, No. 139" pbc="T T T"
Ag -0.520 -0.034 2.440
Ag 3.265 -3.545 5.749
Ag 4.570 -0.395 3.519
Ag 1.023 -2.268 0.186
Pb 2.037 -1.583 2.963
Pb 5.798 -2.357 6.305
Fe 0.000 0.000 0.000



| no. | calculated volume (Å³/cell) |
| --- | --- |
| 1 | 163.9 |
| 2 | 138.0 |
| 3 | 89.4 |
| 4 | 96.0 |
| 5 | 131.1 |
| 6 | 177.4 |